Density functional theory data (GGA+U) for an optimized crystal structure of Na5MoNO4.

Values from the calculation:
The value obtained for the total energy is -5.16 eV per atom. For the magnetic moment, the calculation gives 0.0 μB/f.u.

Cell and atoms, written as extended XYZ:
```
22
Lattice="4.9759 -2.9226 0.0000 4.9759 2.9226 0.0000 0.0000 0.0000 10.8364" Properties=species:S:1:pos:R:3 pbc="T T T"
Na 0.0000 0.0000 0.0000
Na 0.0000 0.0000 5.4182
Na 1.8664 0.8375 2.7091
Na 3.0698 0.0000 0.0000
Na 3.0698 0.0000 5.4182
Na 1.8664 -0.8375 8.1273
Na 8.0855 0.8375 2.7091
Na 6.8821 0.0000 0.0000
Na 6.8821 0.0000 5.4182
Na 8.0855 -0.8375 8.1273
Mo 4.9759 1.2103 2.7091
Mo 4.9759 -1.2103 8.1273
N 4.9759 0.5458 8.1273
N 4.9759 -0.5458 2.7091
O 3.6051 1.7712 1.3774
O 3.6051 1.7712 4.0408
O 6.3468 1.7712 1.3774
O 6.3468 1.7712 4.0408
O 3.6051 -1.7712 6.7956
O 3.6051 -1.7712 9.4590
O 6.3468 -1.7712 6.7956
O 6.3468 -1.7712 9.4590
```